A plane-wave DFT calculation with PBE was carried out for a relaxed structure of Ac2La2Ni3.

a b c (Å): 7.948 7.948 6.354
angles (deg): 110.77 110.77 31.40
Atoms (fractional coordinates):
Ac 0.138 0.138 0.237
Ac 0.862 0.862 0.763
La 0.390 0.390 0.286
La 0.610 0.610 0.714
Ni 0.236 0.236 0.866
Ni 0.500 0.500 0.000
Ni 0.764 0.764 0.134

Summary:
mass density = 7.755 g/cm3
calculated total energy = -36.85 eV per cell



A plane-wave DFT calculation with PBE was carried out for a relaxed structure of Sc2SiPb.

a b c (Å): 8.185 8.185 8.185
angles (deg): 26.07 26.07 26.07
Atoms (fractional coordinates):
Sc 0.235 0.235 0.235
Sc 0.765 0.765 0.765
Si 0.500 0.500 0.500
Pb 0.000 0.000 0.000

Summary:
formation energy from raw total energies = -430 meV per atom
mass density = 5.786 g/cm3
calculated total energy = -23.51 eV per cell
ΔE to the lowest computed polymorph = 0.0141 eV/atom



A plane-wave DFT calculation with PBE was carried out for a relaxed structure of Nd2TiAl2Rh5.

a b c (Å): 10.178 10.178 3.388
angles (deg): 90.00 90.00 90.00
Atoms (fractional coordinates):
Nd 0.174 0.326 0.000
Nd 0.326 0.826 0.000
Nd 0.674 0.174 0.000
Nd 0.826 0.674 0.000
Ti 0.000 0.000 0.000
Ti 0.500 0.500 0.000
Al 0.125 0.625 0.000
Al 0.375 0.125 0.000
Al 0.625 0.875 0.000
Al 0.875 0.375 0.000
Rh 0.000 0.500 0.500
Rh 0.063 0.798 0.500
Rh 0.202 0.063 0.500
Rh 0.298 0.563 0.500
Rh 0.437 0.298 0.500
Rh 0.500 0.000 0.500
Rh 0.563 0.702 0.500
Rh 0.702 0.437 0.500
Rh 0.798 0.937 0.500
Rh 0.937 0.202 0.500

Summary:
mass density = 8.561 g/cm3
calculated total energy = -138.61 eV per cell



A plane-wave DFT calculation with PBE was carried out for a relaxed structure of NaYOs3.

a b c (Å): 4.574 4.574 4.574
angles (deg): 90.00 90.00 90.00
Atoms (fractional coordinates):
Na 0.000 0.000 0.000
Y 0.500 0.500 0.500
Os 0.000 0.000 0.500
Os 0.000 0.500 0.000
Os 0.500 0.000 0.000

Summary:
mass density = 11.847 g/cm3
calculated total energy = -30.42 eV per cell
ΔE to the lowest computed polymorph = 0.0000 eV/atom



A plane-wave DFT calculation with PBE was carried out for a relaxed structure of Be2CoRu.

a b c (Å): 7.352 7.352 7.352
angles (deg): 20.40 20.40 20.40
Atoms (fractional coordinates):
Be 0.246 0.246 0.246
Be 0.754 0.754 0.754
Co 0.500 0.500 0.500
Ru 0.000 0.000 0.000

Summary:
mass density = 6.999 g/cm3
calculated total energy = -23.90 eV per cell



A plane-wave DFT calculation with PBE was carried out for a relaxed structure of Th3SbS3.

a b c (Å): 8.792 8.792 8.792
angles (deg): 54.03 54.03 54.03
Atoms (fractional coordinates):
Th 0.007 0.409 0.800
Th 0.200 0.993 0.591
Th 0.409 0.800 0.007
Th 0.591 0.200 0.993
Th 0.800 0.007 0.409
Th 0.993 0.591 0.200
Sb 0.166 0.166 0.166
Sb 0.834 0.834 0.834
S 0.132 0.649 0.380
S 0.351 0.620 0.868
S 0.380 0.132 0.649
S 0.620 0.868 0.351
S 0.649 0.380 0.132
S 0.868 0.351 0.620

Summary:
formation energy from raw total energies = -1473 meV per atom
mass density = 7.342 g/cm3
calculated total energy = -98.15 eV per cell



A plane-wave DFT calculation with PBE was carried out for a relaxed structure of Ho2Tm4Sc3.

a b c (Å): 9.484 9.484 5.984
angles (deg): 93.85 93.85 72.03
Atoms (fractional coordinates):
Ho 0.024 0.738 0.676
Ho 0.262 0.976 0.824
Ho 0.738 0.024 0.176
Ho 0.976 0.262 0.324
Tm 0.073 0.357 0.843
Tm 0.310 0.594 0.991
Tm 0.357 0.073 0.343
Tm 0.406 0.690 0.509
Tm 0.594 0.310 0.491
Tm 0.643 0.927 0.657
Tm 0.690 0.406 0.009
Tm 0.927 0.643 0.157
Sc 0.098 0.902 0.250
Sc 0.236 0.431 0.415
Sc 0.431 0.236 0.915
Sc 0.569 0.764 0.085
Sc 0.764 0.569 0.585
Sc 0.902 0.098 0.750

Summary:
mass density = 7.423 g/cm3
calculated total energy = -90.06 eV per cell
ΔE to the lowest computed polymorph = 0.0174 eV/atom



A plane-wave DFT calculation with PBE was carried out for a relaxed structure of Mn2InCl.

a b c (Å): 3.136 3.257 7.610
angles (deg): 90.00 90.00 90.00
Atoms (fractional coordinates):
Mn 0.000 0.000 0.237
Mn 0.000 0.000 0.763
In 0.500 0.500 0.000
Cl 0.500 0.000 0.500

Summary:
formation energy from raw total energies = 67 meV per atom
mass density = 5.557 g/cm3
calculated total energy = -22.66 eV per cell
ΔE to the lowest computed polymorph = 0.0308 eV/atom